# 1
12
Lattice="1.671 -7.969 0.000 1.671 7.969 0.000 0.000 0.000 9.377" Properties=species:S:1:pos:R:3 comment="InMoAuS3 PBE-GGA optimized geometry" energy_ev_per_fu=-31.22 magmom_total_mub_per_atom=0.001 pbc="T T T"
In 1.671 5.267 7.033
In 1.671 -5.267 2.344
Mo 1.671 0.000 0.000
Mo 1.671 0.000 4.688
Au 1.671 4.917 2.344
Au 1.671 -4.917 7.033
S 1.671 6.205 0.268
S 1.671 6.205 4.420
S 1.671 0.514 2.344
S 1.671 -0.514 7.033
S 1.671 -6.205 4.957
S 1.671 -6.205 9.108


# 2
12
Lattice="7.292 0.000 0.000 0.000 7.292 0.000 0.000 0.000 7.292" Properties=species:S:1:pos:R:3 comment="AcZnBi PBE-GGA optimized geometry" magmom_total_mub_per_atom=0.000 de_polymorph_ev_per_atom=0.000 pbc="T T T"
Ac 0.000 0.000 0.000
Ac 0.000 3.646 3.646
Ac 3.646 0.000 3.646
Ac 3.646 3.646 0.000
Zn 1.823 1.823 1.823
Zn 1.823 5.469 5.469
Zn 5.469 1.823 5.469
Zn 5.469 5.469 1.823
Bi 0.000 0.000 3.646
Bi 0.000 3.646 0.000
Bi 3.646 0.000 0.000
Bi 3.646 3.646 3.646